Pr2Si3Pd GGA-PBE optimized geometry; formation energy from raw total energies = -0.89 eV per atom; E = -6.062 eV per atom; V = 128 Å³/f.u.
1.0
0.0000 4.3087 7.1854
4.1481 0.0000 7.1854
4.1481 4.3087 0.0000
Pr Si Pd
4 6 2
Direct
0.2447 0.7553 0.2447
0.2500 0.2500 0.2500
0.7500 0.7500 0.7500
0.7553 0.2447 0.7553
0.1655 0.1655 0.8345
0.1665 0.6678 0.8335
0.3322 0.8335 0.6678
0.6678 0.1665 0.3322
0.8335 0.3322 0.1665
0.8345 0.8345 0.1655
0.3330 0.3330 0.6670
0.6670 0.6670 0.3330